(1)
Compound: KCa2Tl2
Source: the Alexandria database
Functional: PBE
Structure: relaxed

Lattice parameters (Å, degrees): 9.335 9.335 3.978 90.00 90.00 90.00
Fractional coordinates of all 10 atoms:
K  0.000  0.000  0.000
K  0.500  0.500  0.000
Ca  0.159  0.341  0.500
Ca  0.341  0.841  0.500
Ca  0.659  0.159  0.500
Ca  0.841  0.659  0.500
Tl  0.133  0.633  0.000
Tl  0.367  0.133  0.000
Tl  0.633  0.867  0.000
Tl  0.867  0.367  0.000

Calculated values
Its density of states at the Fermi level is 0.574 states/eV per atom. The formation energy is -1.20 eV/f.u. The volume is 34.7 A^3/atom.

(2)
Compound: La3TiN
Source: the Alexandria database
Functional: PBE
Structure: relaxed

Lattice parameters (Å, degrees): 5.103 5.103 5.103 90.00 90.00 90.00
Fractional coordinates of all 5 atoms:
La  0.000  0.000  0.500
La  0.000  0.500  0.000
La  0.500  0.000  0.000
Ti  0.500  0.500  0.500
N  0.000  0.000  0.000

Calculated values
Its density of states at the Fermi level is 1.351 states/eV per atom. Its raw formation energy is -0.3369 eV per atom. The volume is 26.6 A^3/atom.

(3)
Compound: MgNbVIr
Source: the Alexandria database
Functional: PBE
Structure: relaxed

Lattice parameters (Å, degrees): 4.500 4.500 4.500 60.00 60.00 60.00
Fractional coordinates of all 4 atoms:
Mg  0.000  0.000  0.000
Nb  0.500  0.500  0.500
V  0.250  0.250  0.250
Ir  0.750  0.750  0.750

Calculated values
Its density of states at the Fermi level is 0.199 states/eV per atom. The formation energy is -0.84 eV/f.u. The volume is 16.1 A^3/atom.

(4)
Compound: Mn2OsPt
Source: the Alexandria database
Functional: PBE
Structure: relaxed

Lattice parameters (Å, degrees): 4.718 4.718 4.718 133.34 133.34 68.12
Fractional coordinates of all 4 atoms:
Mn  0.000  0.000  0.000
Mn  0.750  0.250  0.500
Os  0.500  0.500  0.000
Pt  0.250  0.750  0.500

Calculated values
Its density of states at the Fermi level is 0.683 states/eV per atom. The formation energy is -0.06 eV/f.u. The volume is 13.6 A^3/atom.

(5)
Compound: LiSm3In12
Source: the Alexandria database
Functional: PBE
Structure: relaxed

Lattice parameters (Å, degrees): 4.677 4.677 18.409 90.00 90.00 90.00
Fractional coordinates of all 16 atoms:
Li  0.000  0.000  0.000
Sm  0.000  0.000  0.244
Sm  0.000  0.000  0.500
Sm  0.000  0.000  0.756
In  0.000  0.500  0.115
In  0.000  0.500  0.372
In  0.000  0.500  0.628
In  0.000  0.500  0.885
In  0.500  0.000  0.115
In  0.500  0.000  0.372
In  0.500  0.000  0.628
In  0.500  0.000  0.885
In  0.500  0.500  0.000
In  0.500  0.500  0.248
In  0.500  0.500  0.500
In  0.500  0.500  0.752

Calculated values
Its density of states at the Fermi level is 0.397 states/eV per atom. The formation energy is -5.85 eV/f.u. The volume is 25.2 A^3/atom.

(6)
Compound: AcCe2Nd3P6
Source: the Alexandria database
Functional: PBE
Structure: relaxed

Lattice parameters (Å, degrees): 7.260 7.260 7.255 99.62 99.62 119.99
Fractional coordinates of all 12 atoms:
Ac  0.000  0.000  0.000
Ce  0.333  0.667  0.000
Ce  0.667  0.333  0.000
Nd  0.165  0.835  0.500
Nd  0.500  0.500  0.500
Nd  0.835  0.165  0.500
P  0.083  0.430  0.249
P  0.264  0.264  0.751
P  0.430  0.083  0.249
P  0.570  0.917  0.751
P  0.736  0.736  0.249
P  0.917  0.570  0.751

Calculated values
Its density of states at the Fermi level is 0.868 states/eV per atom. The formation energy is -17.99 eV/f.u. The volume is 26.0 A^3/atom.

(7)
Compound: Ce3ScBi4
Source: the Alexandria database
Functional: PBE
Structure: relaxed

Lattice parameters (Å, degrees): 6.410 6.410 6.410 90.00 90.00 90.00
Fractional coordinates of all 8 atoms:
Ce  0.000  0.000  0.500
Ce  0.000  0.500  0.000
Ce  0.500  0.000  0.000
Sc  0.500  0.500  0.500
Bi  0.000  0.000  0.000
Bi  0.000  0.500  0.500
Bi  0.500  0.000  0.500
Bi  0.500  0.500  0.000

Calculated values
Its density of states at the Fermi level is 2.477 states/eV per atom. The formation energy is -5.71 eV/f.u. The volume is 32.9 A^3/atom.

(8)
Compound: Na2MgCoH8
Source: the Alexandria database
Functional: PBE
Structure: relaxed

Lattice parameters (Å, degrees): 5.058 5.058 5.026 90.00 90.00 120.00
Fractional coordinates of all 12 atoms:
Na  0.333  0.667  0.361
Na  0.667  0.333  0.639
Mg  0.000  0.000  0.000
Co  0.000  0.000  0.500
H  0.144  0.288  0.678
H  0.144  0.856  0.678
H  0.288  0.144  0.322
H  0.333  0.667  0.927
H  0.667  0.333  0.073
H  0.712  0.856  0.678
H  0.856  0.144  0.322
H  0.856  0.712  0.322

Calculated values
Its density of states at the Fermi level is 0.090 states/eV per atom. The volume is 9.3 A^3/atom. Its calculated total energy is -3.163 eV/atom.